(1)
The following is a PBE calculation of a geometry-optimized PmErPt structure, from the Alexandria database.

E_form	-0.76	eV/atom
space group	Pm (6)

Cell and atoms, written as CIF:
```
data_PmErPt
_symmetry_space_group_name_H-M 'P 1'
_symmetry_Int_Tables_number 1
_cell_length_a 3.7298
_cell_length_b 6.9737
_cell_length_c 6.6942
_cell_angle_alpha 75.83
_cell_angle_beta 89.95
_cell_angle_gamma 90.00
loop_
_symmetry_equiv_pos_as_xyz
'x,y,z'
loop_
_atom_site_label
_atom_site_type_symbol
_atom_site_fract_x
_atom_site_fract_y
_atom_site_fract_z
Er1 Er 0.6238 0.0016 0.6082
Pm1 Pm 0.1238 0.8767 0.1157
Pm2 Pm 0.6230 0.3880 0.0463
Er2 Er 0.6239 0.5286 0.5219
Pt1 Pt 0.1235 0.6849 0.7633
Pt2 Pt 0.1235 0.2474 0.7623
```

(2)
The following is a PBE calculation of a geometry-optimized Pu2ZnSi4Ir3 structure, from the Alexandria database.

space group	P-4m2 (115)
raw formation energy	-0.69	eV/atom

Cell and atoms, written as CIF:
```
data_Pu2ZnSi4Ir3
_symmetry_space_group_name_H-M 'P 1'
_symmetry_Int_Tables_number 1
_cell_length_a 4.1390
_cell_length_b 4.1390
_cell_length_c 10.0315
_cell_angle_alpha 90.00
_cell_angle_beta 90.00
_cell_angle_gamma 90.00
loop_
_symmetry_equiv_pos_as_xyz
'x,y,z'
loop_
_atom_site_label
_atom_site_type_symbol
_atom_site_fract_x
_atom_site_fract_y
_atom_site_fract_z
Si1 Si 0.5000 0.5000 0.0000
Si2 Si 0.0000 0.5000 0.3618
Zn1 Zn 0.5000 0.5000 0.5000
Si3 Si 0.5000 0.0000 0.6382
Pu1 Pu 0.5000 0.0000 0.2462
Pu2 Pu 0.0000 0.5000 0.7538
Ir1 Ir 0.5000 0.0000 0.8749
Ir2 Ir 0.0000 0.5000 0.1251
Si4 Si 0.0000 0.0000 0.0000
Ir3 Ir 0.0000 0.0000 0.5000
```

(3)
The following is a PBE calculation of a geometry-optimized AsSe4 structure, from the Alexandria database.

space group	Pm-3m (221)
raw formation energy	0.72	eV/atom

Cell and atoms, written as CIF:
```
data_AsSe4
_symmetry_space_group_name_H-M 'P 1'
_symmetry_Int_Tables_number 1
_cell_length_a 5.0208
_cell_length_b 5.0208
_cell_length_c 5.0208
_cell_angle_alpha 90.00
_cell_angle_beta 90.00
_cell_angle_gamma 90.00
loop_
_symmetry_equiv_pos_as_xyz
'x,y,z'
loop_
_atom_site_label
_atom_site_type_symbol
_atom_site_fract_x
_atom_site_fract_y
_atom_site_fract_z
As1 As 0.5000 0.5000 0.5000
Se1 Se 0.5000 0.0000 0.5000
Se2 Se 0.0000 0.0000 0.0000
Se3 Se 0.5000 0.5000 0.0000
Se4 Se 0.0000 0.5000 0.5000
```

(4)
The following is a PBE calculation of a geometry-optimized Tb3SmEr3 structure, from the Alexandria database.

E_form	0.14	eV/atom
space group	R-3 (148)

Cell and atoms, written as CIF:
```
data_Tb3SmEr3
_symmetry_space_group_name_H-M 'P 1'
_symmetry_Int_Tables_number 1
_cell_length_a 6.1518
_cell_length_b 6.1518
_cell_length_c 14.6332
_cell_angle_alpha 77.87
_cell_angle_beta 77.87
_cell_angle_gamma 60.00
loop_
_symmetry_equiv_pos_as_xyz
'x,y,z'
loop_
_atom_site_label
_atom_site_type_symbol
_atom_site_fract_x
_atom_site_fract_y
_atom_site_fract_z
Sm1 Sm 0.6667 0.6667 0.0000
Tb1 Tb 0.8010 0.1327 0.6022
Er1 Er 0.9332 0.2670 0.2007
Tb2 Tb 0.4641 0.8010 0.6022
Er2 Er 0.7330 0.4009 0.7993
Er3 Er 0.4009 0.0668 0.7993
Tb3 Tb 0.8673 0.5359 0.3978
Er4 Er 0.5991 0.9332 0.2007
Er5 Er 0.2670 0.5991 0.2007
Er6 Er 0.0668 0.7330 0.7993
Sm2 Sm 0.3333 0.3333 0.0000
Tb4 Tb 0.1327 0.4641 0.6022
Tb5 Tb 0.5359 0.1990 0.3978
Tb6 Tb 0.1990 0.8673 0.3978
```